Below is a geometry-optimized BaNdCdP2 structure, with properties calculated at the PBE-GGA level.

Computed properties:
SG = Cmc2_1
uncorrected energy = -4.57 eV per atom

Cell lengths 9.1605, 9.1605, 7.0789 Å; angles 90.00, 90.00, 152.77 degrees
Last column: nearest neighbours and their distance in Å.
Element x y z (fractional)
Ba (0.1981, 0.8019, 0.5000)  5 P 3.23-3.44
Ba (0.8019, 0.1981, 0.0000)  5 P 3.23-3.44
Nd (0.0310, 0.9690, 0.8105)  5 P 2.84-3.03
Nd (0.9690, 0.0310, 0.3105)  5 P 2.84-3.03
Cd (0.3972, 0.6028, 0.6496)  4 P 2.61-2.89
Cd (0.6028, 0.3972, 0.1496)  4 P 2.61-2.89
P (0.1674, 0.8326, 0.0198)  2 Cd 2.61, 1 Nd 2.84
P (0.4497, 0.5503, 0.0142)  2 Cd 2.74-2.89, 4 Nd 2.97-3.03
P (0.5503, 0.4497, 0.5142)  2 Cd 2.74-2.89, 4 Nd 2.97-3.03
P (0.8326, 0.1674, 0.5198)  2 Cd 2.61, 1 Nd 2.84

***

Below is a geometry-optimized Ba4Nd2Cd3Se10 structure, with properties calculated at the PBE-GGA level.

Computed properties:
SG = Cmc2_1
uncorrected energy = -4.44 eV per atom

Cell lengths 9.7921, 9.7921, 27.9643 Å; angles 90.00, 90.00, 154.05 degrees
Last column: nearest neighbours and their distance in Å.
Element x y z (fractional)
Ba (0.0755, 0.9245, 0.5000)  7 Se 3.28-3.45
Ba (0.0937, 0.9063, 0.6811)  7 Se 3.30-3.67
Ba (0.3348, 0.6652, 0.4510)  7 Se 3.29-3.48
Ba (0.3347, 0.6653, 0.7344)  7 Se 3.27-3.60
Ba (0.6653, 0.3347, 0.2344)  7 Se 3.27-3.60
Ba (0.6652, 0.3348, 0.9510)  7 Se 3.29-3.48
Ba (0.9063, 0.0937, 0.1811)  7 Se 3.30-3.67
Ba (0.9245, 0.0755, 0.0000)  7 Se 3.28-3.45
Nd (0.0033, 0.9967, 0.8417)  6 Se 2.96-3.04
Nd (0.4169, 0.5831, 0.5957)  6 Se 2.96-2.99
Nd (0.5831, 0.4169, 0.0957)  6 Se 2.96-2.99
Nd (0.9967, 0.0033, 0.3417)  6 Se 2.96-3.04
Cd (0.2843, 0.7157, 0.0736)  4 Se 2.61-2.79
Cd (0.3430, 0.6570, 0.3027)  4 Se 2.57-2.84
Cd (0.3505, 0.6495, 0.8872)  4 Se 2.67-2.79
Cd (0.6495, 0.3505, 0.3872)  4 Se 2.67-2.79
Cd (0.6570, 0.3430, 0.8027)  4 Se 2.57-2.84
Cd (0.7157, 0.2843, 0.5736)  4 Se 2.61-2.79
Se (0.0798, 0.9202, 0.1665)  2 Nd 2.96
Se (0.0929, 0.9071, 0.0234)  2 Nd 2.99, 3 Ba 3.28-3.29
Se (0.1548, 0.8452, 0.3320)  2 Cd 2.69
Se (0.1580, 0.8420, 0.8601)  2 Cd 2.72, 1 Nd 3.00
Se (0.2620, 0.7380, 0.6126)  2 Cd 2.61
Se (0.2896, 0.7104, 0.2182)  1 Cd 2.57
Se (0.2926, 0.7074, 0.9739)  2 Cd 2.67-2.79
Se (0.4281, 0.5719, 0.0900)  1 Cd 2.78, 1 Nd 2.96
Se (0.4848, 0.5152, 0.2714)  1 Cd 2.84, 2 Nd 2.96
Se (0.4903, 0.5097, 0.9162)  1 Cd 2.79, 2 Nd 3.04
Se (0.5097, 0.4903, 0.4162)  1 Cd 2.79, 2 Nd 3.04
Se (0.5152, 0.4848, 0.7714)  1 Cd 2.84, 2 Nd 2.96
Se (0.5719, 0.4281, 0.5900)  1 Cd 2.78, 1 Nd 2.96
Se (0.7074, 0.2926, 0.4739)  2 Cd 2.67-2.79
Se (0.7104, 0.2896, 0.7182)  1 Cd 2.57
Se (0.7380, 0.2620, 0.1126)  2 Cd 2.61
Se (0.8420, 0.1580, 0.3601)  2 Cd 2.72, 1 Nd 3.00
Se (0.8452, 0.1548, 0.8320)  2 Cd 2.69
Se (0.9071, 0.0929, 0.5234)  2 Nd 2.99, 3 Ba 3.28-3.29
Se (0.9202, 0.0798, 0.6665)  2 Nd 2.96

***

Below is a geometry-optimized BaNdCdSe3 structure, with properties calculated at the PBE-GGA level.

Computed properties:
SG = Cmcm
uncorrected energy = -4.40 eV per atom

Cell lengths 7.7350, 7.7350, 10.9957 Å; angles 90.00, 90.00, 147.13 degrees
Last column: nearest neighbours and their distance in Å.
Element x y z (fractional)
Ba (0.2385, 0.7615, 0.7500)  6 Se 3.36-3.39
Ba (0.7615, 0.2385, 0.2500)  6 Se 3.36-3.39
Nd (0.0000, 0.0000, 0.0000)  6 Se 3.05
Nd (0.0000, 0.0000, 0.5000)  6 Se 3.05
Cd (0.4768, 0.5232, 0.2500)  4 Se 2.69-2.75
Cd (0.5232, 0.4768, 0.7500)  4 Se 2.69-2.75
Se (0.0893, 0.9107, 0.2500)  2 Cd 2.75, 2 Nd 3.05
Se (0.3636, 0.6364, 0.0591)  1 Cd 2.69
Se (0.3636, 0.6364, 0.4409)  1 Cd 2.69
Se (0.6364, 0.3636, 0.5591)  1 Cd 2.69
Se (0.6364, 0.3636, 0.9409)  1 Cd 2.69
Se (0.9107, 0.0893, 0.7500)  2 Cd 2.75, 2 Nd 3.05

***

Below is a geometry-optimized BaCdNi3 structure, with properties calculated at the PBE-GGA level.

Computed properties:
SG = Cmmm
uncorrected energy = -3.49 eV per atom

Cell lengths 13.9705, 13.9705, 3.6775 Å; angles 90.00, 90.00, 164.93 degrees
Last column: nearest neighbours and their distance in Å.
Element x y z (fractional)
Ba (0.1206, 0.8794, 0.0000)  5 Ni 2.85-2.89
Ba (0.8794, 0.1206, 0.0000)  5 Ni 2.85-2.89
Cd (0.2952, 0.7048, 0.5000)  6 Ni 2.65-2.71
Cd (0.7048, 0.2952, 0.5000)  6 Ni 2.65-2.71
Ni (0.0402, 0.9598, 0.5000)  1 Ni 2.23
Ni (0.2234, 0.7766, 0.0000)  2 Ni 2.35
Ni (0.4598, 0.5402, 0.0000)  1 Ni 2.23
Ni (0.5402, 0.4598, 0.0000)  1 Ni 2.23
Ni (0.7766, 0.2234, 0.0000)  2 Ni 2.35
Ni (0.9598, 0.0402, 0.5000)  1 Ni 2.23